A plane-wave DFT calculation with PBE was carried out for a geometry-optimized KNdHfTiO6 structure.

Cell and atoms, written as POSCAR:
```
KNdHfTiO6
1.0
0.000 4.018 4.018
4.018 0.000 4.018
4.018 4.018 0.000
O K Nd Hf Ti
6 1 1 1 1
Direct
0.256 0.744 0.256 O
0.256 0.744 0.744 O
0.744 0.256 0.744 O
0.744 0.744 0.256 O
0.256 0.256 0.744 O
0.744 0.256 0.256 O
0.750 0.750 0.750 K
0.250 0.250 0.250 Nd
0.000 0.000 0.000 Hf
0.500 0.500 0.500 Ti
```

Output
The total energy is -8.368 eV per atom. The value obtained for the uncorrected formation energy is -3.02 eV/atom. Its volume is 13.0 A^3/atom. The calculation puts the spin magnetization at 0.000 μB/atom.